The following is a DFT calculation (GGA-PBE) of an optimized crystal structure of Li2Pd3Pb3.

Calculated values
Total energy: -66.586 eV/cell
Formation energy: -2.762 eV/f.u.
E above lowest polymorph: 0 meV/atom
Space-group type: P6_3/mcm, No. 193
Crystal system: hexagonal

CIF file:
```
data_Li2Pd3Pb3
_space_group_name_H-M_alt 'P 1'
_space_group_IT_number 1
_cell_length_a 5.525
_cell_length_b 8.203
_cell_length_c 8.203
_cell_angle_alpha 120.00
_cell_angle_beta 90.00
_cell_angle_gamma 90.00
loop_
_space_group_symop_operation_xyz
'x,y,z'
loop_
_atom_site_label
_atom_site_fract_x
_atom_site_fract_y
_atom_site_fract_z
Li1 0.500 0.667 0.333
Pd1 0.750 0.391 0.391
Pb1 0.250 0.275 0.275
Li2 0.000 0.667 0.333
Pb2 0.250 0.000 0.725
Pb3 0.750 0.000 0.275
Pd2 0.250 0.391 0.000
Pb4 0.750 0.275 0.000
Pb5 0.250 0.725 0.000
Pd3 0.750 0.000 0.609
Li3 0.000 0.333 0.667
Pd4 0.750 0.609 0.000
Pb6 0.750 0.725 0.725
Pd5 0.250 0.609 0.609
Li4 0.500 0.333 0.667
Pd6 0.250 0.000 0.391
```

=====

The following is a DFT calculation (GGA-PBE) of an optimized crystal structure of Li2Pd8Pb3.

Calculated values
Total energy: -58.218 eV/cell
Formation energy: -1.723 eV/f.u.
Space-group type: R-3m, No. 166
Crystal system: trigonal

CIF file:
```
data_Li2Pd8Pb3
_space_group_name_H-M_alt 'P 1'
_space_group_IT_number 1
_cell_length_a 5.361
_cell_length_b 5.361
_cell_length_c 10.193
_cell_angle_alpha 74.75
_cell_angle_beta 74.75
_cell_angle_gamma 60.00
loop_
_space_group_symop_operation_xyz
'x,y,z'
loop_
_atom_site_label
_atom_site_fract_x
_atom_site_fract_y
_atom_site_fract_z
Pd1 0.735 0.735 0.296
Li1 0.363 0.363 0.912
Pd2 0.280 0.280 0.159
Pd3 0.735 0.234 0.296
Pb1 0.000 0.000 0.000
Pb2 0.187 0.187 0.438
Pd4 0.766 0.265 0.704
Pd5 0.265 0.265 0.704
Li2 0.637 0.637 0.088
Pd6 0.234 0.735 0.296
Pb3 0.813 0.813 0.562
Pd7 0.720 0.720 0.841
Pd8 0.265 0.766 0.704
```

=====

The following is a DFT calculation (GGA-PBE) of an optimized crystal structure of Li2Pd7Pb.

Calculated values
Total energy: -41.954 eV/cell
Formation energy: 1.932 eV/f.u.
Space-group type: Cmmm, No. 65
Crystal system: orthorhombic

CIF file:
```
data_Li2Pd7Pb
_space_group_name_H-M_alt 'P 1'
_space_group_IT_number 1
_cell_length_a 4.333
_cell_length_b 6.739
_cell_length_c 6.739
_cell_angle_alpha 114.28
_cell_angle_beta 90.00
_cell_angle_gamma 90.00
loop_
_space_group_symop_operation_xyz
'x,y,z'
loop_
_atom_site_label
_atom_site_fract_x
_atom_site_fract_y
_atom_site_fract_z
Pd1 0.500 0.500 0.500
Pd2 0.000 0.251 0.749
Li1 0.500 0.699 0.301
Pd3 0.500 0.065 0.314
Pd4 0.000 0.749 0.251
Li2 0.500 0.301 0.699
Pd5 0.500 0.314 0.065
Pb1 0.000 0.000 0.000
Pd6 0.500 0.686 0.935
Pd7 0.500 0.935 0.686
```

=====

The following is a DFT calculation (GGA-PBE) of an optimized crystal structure of LiPd6Pb2.

Calculated values
Total energy: -42.537 eV/cell
Formation energy: -2.050 eV/f.u.
E above lowest polymorph: 101 meV/atom
Space-group type: C2/m, No. 12
Crystal system: monoclinic

CIF file:
```
data_LiPd6Pb2
_space_group_name_H-M_alt 'P 1'
_space_group_IT_number 1
_cell_length_a 6.387
_cell_length_b 5.414
_cell_length_c 5.414
_cell_angle_alpha 63.16
_cell_angle_beta 102.07
_cell_angle_gamma 102.07
loop_
_space_group_symop_operation_xyz
'x,y,z'
loop_
_atom_site_label
_atom_site_fract_x
_atom_site_fract_y
_atom_site_fract_z
Li1 0.000 0.000 0.000
Pd1 0.637 0.147 0.651
Pb1 0.195 0.333 0.333
Pd2 0.754 0.176 0.176
Pd3 0.363 0.349 0.853
Pd4 0.363 0.853 0.349
Pd5 0.246 0.824 0.824
Pb2 0.805 0.667 0.667
Pd6 0.637 0.651 0.147
```

=====

The following is a DFT calculation (GGA-PBE) of an optimized crystal structure of Li3Pd3Pb.

Calculated values
Total energy: -55.601 eV/cell
Formation energy: -2.772 eV/f.u.
E above lowest polymorph: 0 meV/atom
Space-group type: Cmmm, No. 65
Crystal system: orthorhombic

CIF file:
```
data_Li3Pd3Pb
_space_group_name_H-M_alt 'P 1'
_space_group_IT_number 1
_cell_length_a 6.230
_cell_length_b 6.230
_cell_length_c 6.002
_cell_angle_alpha 90.00
_cell_angle_beta 90.00
_cell_angle_gamma 94.05
loop_
_space_group_symop_operation_xyz
'x,y,z'
loop_
_atom_site_label
_atom_site_fract_x
_atom_site_fract_y
_atom_site_fract_z
Pd1 0.500 0.000 0.262
Pd2 0.000 0.000 0.737
Pd3 0.000 0.000 0.263
Li1 0.766 0.234 0.000
Li2 0.246 0.754 0.500
Pd4 0.500 0.000 0.738
Li3 0.269 0.269 0.500
Pd5 0.000 0.500 0.738
Li4 0.731 0.731 0.500
Pd6 0.000 0.500 0.262
Pb1 0.285 0.285 0.000
Li5 0.754 0.246 0.500
Pb2 0.715 0.715 0.000
Li6 0.234 0.766 0.000
```

=====

The following is a DFT calculation (GGA-PBE) of an optimized crystal structure of Li2Pd8Pb.

Calculated values
Total energy: -51.844 eV/cell
Formation energy: -2.765 eV/f.u.
E above lowest polymorph: 0 meV/atom
Space-group type: C2/m, No. 12
Crystal system: monoclinic

CIF file:
```
data_Li2Pd8Pb
_space_group_name_H-M_alt 'P 1'
_space_group_IT_number 1
_cell_length_a 4.081
_cell_length_b 6.215
_cell_length_c 7.346
_cell_angle_alpha 105.39
_cell_angle_beta 106.13
_cell_angle_gamma 90.00
loop_
_space_group_symop_operation_xyz
'x,y,z'
loop_
_atom_site_label
_atom_site_fract_x
_atom_site_fract_y
_atom_site_fract_z
Pd1 0.403 0.534 0.806
Pd2 0.597 0.466 0.194
Pd3 0.855 0.797 0.710
Li1 0.774 0.355 0.548
Pd4 0.048 0.724 0.096
Pd5 0.684 0.918 0.369
Pd6 0.952 0.276 0.904
Li2 0.226 0.645 0.452
Pd7 0.145 0.203 0.290
Pb1 0.500 0.000 0.000
Pd8 0.316 0.082 0.631
```

=====

The following is a DFT calculation (GGA-PBE) of an optimized crystal structure of Li5Pd12Pb3.

Calculated values
Total energy: -321.554 eV/cell
Formation energy: 2.620 eV/f.u.
Space-group type: Ia-3d, No. 230
Crystal system: cubic

CIF file:
```
data_Li5Pd12Pb3
_space_group_name_H-M_alt 'P 1'
_space_group_IT_number 1
_cell_length_a 12.641
_cell_length_b 12.641
_cell_length_c 12.641
_cell_angle_alpha 109.47
_cell_angle_beta 109.47
_cell_angle_gamma 109.47
loop_
_space_group_symop_operation_xyz
'x,y,z'
loop_
_atom_site_label
_atom_site_fract_x
_atom_site_fract_y
_atom_site_fract_z
Li1 0.625 0.750 0.875
Pd1 0.423 0.374 0.589
Pd2 0.923 0.834 0.550
Pd3 0.216 0.666 0.089
Pb1 0.625 0.250 0.375
Pb2 0.250 0.125 0.375
Li2 0.500 0.000 0.500
Pd4 0.126 0.716 0.550
Pb3 0.250 0.625 0.875
Pd5 0.411 0.284 0.334
Pd6 0.550 0.334 0.923
Pd7 0.666 0.216 0.589
Pd8 0.911 0.834 0.784
Pd9 0.089 0.166 0.216
Pd10 0.077 0.911 0.126
Pd11 0.550 0.216 0.126
Pb4 0.875 0.750 0.125
Pd12 0.450 0.784 0.874
Li3 0.125 0.750 0.375
Pd13 0.626 0.577 0.911
Li4 0.000 0.000 0.000
Pd14 0.577 0.626 0.411
Pb5 0.625 0.375 0.750
Pd15 0.911 0.077 0.626
Pb6 0.125 0.875 0.750
Pd16 0.450 0.666 0.077
Pd17 0.716 0.126 0.050
Pd18 0.950 0.374 0.284
Pd19 0.834 0.923 0.050
Pd20 0.089 0.923 0.374
Pd21 0.216 0.550 0.626
Pd22 0.589 0.716 0.666
Pd23 0.423 0.050 0.334
Pd24 0.950 0.577 0.166
Pd25 0.334 0.784 0.411
Pd26 0.874 0.284 0.450
Li5 0.125 0.375 0.250
Li6 0.500 0.500 0.500
Li7 0.500 0.000 0.000
Pb7 0.875 0.125 0.250
Pd27 0.666 0.450 0.577
Pd28 0.716 0.589 0.166
Li8 0.875 0.250 0.625
Li9 0.000 0.500 0.500
Pb8 0.750 0.875 0.625
Li10 0.250 0.375 0.625
Li11 0.000 0.000 0.500
Pd29 0.077 0.166 0.450
Pd30 0.874 0.589 0.923
Pd31 0.589 0.874 0.423
Pd32 0.284 0.874 0.950
Pd33 0.374 0.950 0.784
Pd34 0.050 0.626 0.716
Pd35 0.577 0.950 0.666
Pd36 0.166 0.089 0.716
Pd37 0.784 0.450 0.374
Pb9 0.375 0.625 0.250
Pd38 0.626 0.050 0.216
Pd39 0.411 0.126 0.577
Li12 0.375 0.250 0.125
Li13 0.750 0.125 0.875
Pb10 0.750 0.375 0.125
Li14 0.875 0.625 0.750
Li15 0.750 0.625 0.375
Li16 0.500 0.500 0.000
Pb11 0.125 0.250 0.875
Pd40 0.923 0.089 0.874
Pd41 0.784 0.334 0.911
Pd42 0.284 0.411 0.834
Li17 0.375 0.125 0.750
Li18 0.000 0.500 0.000
Li19 0.250 0.875 0.125
Li20 0.625 0.875 0.250
Pd43 0.126 0.411 0.077
Pd44 0.050 0.423 0.834
Pd45 0.166 0.077 0.950
Pb12 0.375 0.750 0.625
Pd46 0.374 0.423 0.089
Pd47 0.334 0.550 0.423
Pd48 0.834 0.911 0.284
```

=====

The following is a DFT calculation (GGA-PBE) of an optimized crystal structure of LiPd6Pb3.

Calculated values
Total energy: -93.424 eV/cell
Formation energy: -2.516 eV/f.u.
Space-group type: P2_1/m, No. 11
Crystal system: monoclinic

CIF file:
```
data_LiPd6Pb3
_space_group_name_H-M_alt 'P 1'
_space_group_IT_number 1
_cell_length_a 4.761
_cell_length_b 8.230
_cell_length_c 10.608
_cell_angle_alpha 118.15
_cell_angle_beta 90.00
_cell_angle_gamma 90.00
loop_
_space_group_symop_operation_xyz
'x,y,z'
loop_
_atom_site_label
_atom_site_fract_x
_atom_site_fract_y
_atom_site_fract_z
Pd1 0.750 0.534 0.928
Li1 0.250 0.931 0.559
Pd2 0.250 0.466 0.072
Pb1 0.750 0.466 0.630
Pb2 0.750 0.227 0.032
Pb3 0.250 0.310 0.762
Pd3 0.750 0.840 0.829
Pb4 0.750 0.690 0.238
Pd4 0.750 0.738 0.523
Pd5 0.250 0.684 0.666
Pd6 0.250 0.160 0.171
Pb5 0.250 0.534 0.370
Pd7 0.250 0.055 0.866
Pd8 0.750 0.945 0.134
Li2 0.750 0.069 0.441
Pd9 0.750 0.109 0.729
Pb6 0.250 0.773 0.968
Pd10 0.250 0.891 0.271
Pd11 0.250 0.262 0.477
Pd12 0.750 0.316 0.334
```

=====

Among the records above, which one has the lowest total energy?
Li5Pd12Pb3